An optimized crystal structure of InBiMoO6. Source: Alexandria via LeMat-Bulk, functional PBE with a Hubbard U.

Geometry as POSCAR:
```
InBiMoO6
1.0
5.4676 0.0000 0.0000
-2.7338 4.7350 0.0000
0.0000 0.0000 9.8002
In Bi Mo O
2 2 2 12
direct
0.3333 0.6667 0.2500
0.6667 0.3333 0.7500
0.0000 0.0000 0.0000
0.0000 0.0000 0.5000
0.3333 0.6667 0.7500
0.6667 0.3333 0.2500
0.0310 0.3777 0.6375
0.0310 0.6533 0.8625
0.3467 0.3777 0.8625
0.3467 0.9690 0.6375
0.3777 0.0310 0.1375
0.3777 0.3467 0.3625
0.6223 0.6533 0.6375
0.6223 0.9690 0.8625
0.6533 0.0310 0.3625
0.6533 0.6223 0.1375
0.9690 0.3467 0.1375
0.9690 0.6223 0.3625
```

Calculated values
Total magnetization (μB per formula unit): 0.00
Raw total energy (eV/f.u.): -56.39